(1)
First-principles (PBE) data for a relaxed CaSbIN2 crystal, as listed in Alexandria.

Cell lengths 4.2431, 4.2431, 6.1360 Å; angles 90.00, 90.00, 90.00 degrees
Closest atoms and distances in Å follow each position.
Atoms (fractional coordinates):
Ca 0.0000 0.0000 0.0000  4 I 3.00
Sb 0.5000 0.5000 0.5000  4 N 2.12
I 0.5000 0.5000 0.0000  4 Ca 3.00, 2 Sb 3.07
N 0.0000 0.5000 0.5000  2 Sb 2.12
N 0.5000 0.0000 0.5000  2 Sb 2.12

calculated density: 4.761 g/cm3
ΔE to the lowest computed polymorph: 0 meV per atom
uncorrected formation energy: 641 meV per atom
space group: No. 123


(2)
First-principles (PBE) data for a relaxed CaSeIN2 crystal, as listed in Alexandria.

Cell lengths 4.5976, 4.5976, 6.5864 Å; angles 90.00, 90.00, 90.00 degrees
Closest atoms and distances in Å follow each position.
Atoms (fractional coordinates):
Ca 0.0000 0.0000 0.0000  4 N 2.30
Se 0.5000 0.5000 0.5000  4 I 3.25
I 0.0000 0.0000 0.5000  4 Se 3.25, 2 Ca 3.29
N 0.0000 0.5000 0.0000  2 Ca 2.30
N 0.5000 0.0000 0.0000  2 Ca 2.30

calculated density: 3.268 g/cm3
ΔE to the lowest computed polymorph: 433 meV per atom
uncorrected formation energy: 1258 meV per atom
space group: No. 123


(3)
First-principles (PBE) data for a relaxed CaSeIN2 crystal, as listed in Alexandria.

Cell lengths 4.1435, 4.1435, 5.6818 Å; angles 90.00, 90.00, 90.00 degrees
Closest atoms and distances in Å follow each position.
Atoms (fractional coordinates):
Ca 0.0000 0.0000 0.0000  4 Se 2.93
Se 0.5000 0.5000 0.0000  2 I 2.84, 4 Ca 2.93
I 0.5000 0.5000 0.5000  4 N 2.07
N 0.0000 0.5000 0.5000  2 I 2.07
N 0.5000 0.0000 0.5000  2 I 2.07

calculated density: 4.663 g/cm3
ΔE to the lowest computed polymorph: 49 meV per atom
uncorrected formation energy: 874 meV per atom
space group: No. 123


(4)
First-principles (PBE) data for a relaxed CaSeIN2 crystal, as listed in Alexandria.

Cell lengths 4.1310, 4.1310, 6.6040 Å; angles 90.00, 90.00, 90.00 degrees
Closest atoms and distances in Å follow each position.
Atoms (fractional coordinates):
Ca 0.0000 0.0000 0.0000  4 I 2.92
Se 0.5000 0.5000 0.5000  4 N 2.07
I 0.5000 0.5000 0.0000  4 Ca 2.92
N 0.0000 0.5000 0.5000  2 Se 2.07
N 0.5000 0.0000 0.5000  2 Se 2.07

calculated density: 4.037 g/cm3
ΔE to the lowest computed polymorph: 141 meV per atom
uncorrected formation energy: 966 meV per atom
space group: No. 123